Density functional theory data (GGA-PBE) for a relaxed Tc2HO crystal.

Unit cell a=3.8302 b=3.8302 c=3.8302 alpha=60.00 beta=60.00 gamma=60.00
Atoms (fractional coordinates):
H 0.0000 0.0000 0.0000
Tc 0.2500 0.2500 0.2500
Tc 0.7500 0.7500 0.7500
O 0.5000 0.5000 0.5000

Properties
Energy relative to the lowest polymorph listed for this composition, eV/atom: 0.6521
Space-group type: Fm-3m
Fermi-level density of states, states/eV per atom: 1.5527